# 1
Below is a relaxed Er3NiAg crystal, with properties calculated at the GGA-PBE level.

Calculated values
The total energy is -4.738 eV/atom. As for the space group: C2/m. The calculation puts the density of states at the Fermi level at 10.5 states/eV per cell.

```
Er3NiAg
1.0
4.9840 -3.2011 0.0000
4.9840 3.2011 0.0000
-3.8894 0.0000 7.5286
Er Ni Ag
6 2 2
Direct
0.0311 0.0311 0.2272
0.2903 0.2903 0.6844
0.3187 0.3187 0.1272
0.6813 0.6813 0.8728
0.7097 0.7097 0.3156
0.9689 0.9689 0.7728
0.3043 0.6957 0.0000
0.6957 0.3043 0.0000
0.2826 0.7174 0.5000
0.7174 0.2826 0.5000
```

=====

# 2
Below is a relaxed Er3NiAg2 crystal, with properties calculated at the GGA-PBE level.

Calculated values
The calculation puts the energy above the most stable polymorph in this dataset at 0.532 eV per formula unit. As for the space group: C2/c. The calculation puts the density of states at the Fermi level at 9.5 states/eV per cell.

```
Er3NiAg2
1.0
7.1734 -2.8824 0.0000
7.1734 2.8824 0.0000
-1.4631 0.0000 6.5709
Er Ni Ag
6 2 4
Direct
0.1504 0.8496 0.7500
0.2467 0.4297 0.3630
0.4297 0.2467 0.8630
0.5703 0.7533 0.1370
0.7533 0.5703 0.6370
0.8496 0.1504 0.2500
0.3531 0.6469 0.2500
0.6469 0.3531 0.7500
0.0598 0.2639 0.0004
0.2639 0.0598 0.5004
0.7361 0.9402 0.4996
0.9402 0.7361 0.9996
```

=====

# 3
Below is a relaxed Er12NiAg6 crystal, with properties calculated at the GGA-PBE level.

Calculated values
The total energy is -4.137 eV/atom. As for the space group: R-3. The calculation puts the density of states at the Fermi level at 17.8 states/eV per cell.

```
Er12NiAg6
1.0
7.0321 4.0600 3.0158
-7.0321 4.0600 3.0158
0.0000 -8.1200 3.0158
Er Ni Ag
12 1 6
Direct
0.0401 0.2293 0.3314
0.2084 0.6966 0.4029
0.2293 0.3314 0.0401
0.3034 0.5971 0.7916
0.3314 0.0401 0.2293
0.4029 0.2084 0.6966
0.5971 0.7916 0.3034
0.6686 0.9599 0.7707
0.6966 0.4029 0.2084
0.7707 0.6686 0.9599
0.7916 0.3034 0.5971
0.9599 0.7707 0.6686
0.0000 0.0000 0.0000
0.0105 0.1304 0.6493
0.1304 0.6493 0.0105
0.3507 0.9895 0.8696
0.6493 0.0105 0.1304
0.8696 0.3507 0.9895
0.9895 0.8696 0.3507
```

=====

# 4
Below is a relaxed Er4NiAg crystal, with properties calculated at the GGA-PBE level.

Calculated values
The calculation puts the energy above the most stable polymorph in this dataset at 1.805 eV per formula unit. As for the space group: I4_1md. The calculation puts the density of states at the Fermi level at 18.1 states/eV per cell.

```
Er4NiAg
1.0
-4.6715 4.6715 4.0694
4.6715 -4.6715 4.0694
4.6715 4.6715 -4.0694
Er Ni Ag
8 2 2
Direct
0.1942 0.0000 0.1942
0.2085 0.4951 0.2866
0.2085 0.9219 0.7134
0.2451 0.4585 0.7866
0.6719 0.4585 0.2134
0.7500 0.0558 0.3058
0.7500 0.4442 0.6942
0.8058 0.0000 0.8058
0.2360 0.2360 0.0000
0.9860 0.4860 0.5000
0.4702 0.9702 0.5000
0.7202 0.7202 0.0000
```

=====

# 5
Below is a relaxed Er2Ni2Ag3 crystal, with properties calculated at the GGA-PBE level.

Calculated values
The total energy is -4.512 eV/atom. As for the space group: Cmmm. The calculation puts the density of states at the Fermi level at 2.7 states/eV per cell.

```
Er2Ni2Ag3
1.0
1.9249 -9.6852 0.0000
1.9249 9.6852 0.0000
0.0000 0.0000 3.5488
Er Ni Ag
2 2 3
Direct
0.1652 0.8348 0.0000
0.8348 0.1652 0.0000
0.2863 0.7137 0.5000
0.7137 0.2863 0.5000
0.0000 0.0000 0.0000
0.4273 0.5727 0.5000
0.5727 0.4273 0.5000
```

=====

# 6
Below is a relaxed Er8NiAg2 crystal, with properties calculated at the GGA-PBE level.

Calculated values
The calculation puts the energy above the most stable polymorph in this dataset at 0.000 eV per formula unit. As for the space group: C2/m. The calculation puts the density of states at the Fermi level at 10.8 states/eV per cell.

```
Er8NiAg2
1.0
8.6182 -2.5826 0.0000
8.6182 2.5826 0.0000
-2.0048 0.0000 6.4242
Er Ni Ag
8 1 2
Direct
0.0269 0.0269 0.2873
0.2008 0.2008 0.8083
0.3424 0.3424 0.5335
0.4103 0.4103 0.0680
0.5897 0.5897 0.9320
0.6576 0.6576 0.4665
0.7992 0.7992 0.1917
0.9731 0.9731 0.7127
0.5000 0.5000 0.5000
0.1850 0.1850 0.2202
0.8150 0.8150 0.7798
```

=====

# 7
Below is a relaxed Er5Ni2Ag2 crystal, with properties calculated at the GGA-PBE level.

Calculated values
The total energy is -4.774 eV/atom. As for the space group: Cmce. The calculation puts the density of states at the Fermi level at 13.4 states/eV per cell.

```
Er5Ni2Ag2
1.0
7.7262 -3.5672 0.0000
7.7262 3.5672 0.0000
0.0000 0.0000 7.5143
Er Ni Ag
10 4 4
Direct
0.0000 0.0000 0.0000
0.0481 0.7010 0.6799
0.2010 0.5481 0.1799
0.2990 0.9519 0.6799
0.4519 0.7990 0.1799
0.5000 0.5000 0.5000
0.5481 0.2010 0.8201
0.7010 0.0481 0.3201
0.7990 0.4519 0.8201
0.9519 0.2990 0.3201
0.1176 0.8824 0.3785
0.3824 0.6176 0.8785
0.6176 0.3824 0.1215
0.8824 0.1176 0.6215
0.2145 0.2145 0.0000
0.2855 0.2855 0.5000
0.7145 0.7145 0.5000
0.7855 0.7855 0.0000
```

=====

# 8
Below is a relaxed Er3NiAg2 crystal, with properties calculated at the GGA-PBE level.

Calculated values
The calculation puts the energy above the most stable polymorph in this dataset at 0.000 eV per formula unit. As for the space group: P-3m1. The calculation puts the density of states at the Fermi level at 3.8 states/eV per cell.

```
Er3NiAg2
1.0
4.9726 0.0000 0.0000
-2.4863 4.3064 0.0000
0.0000 0.0000 6.1342
Er Ni Ag
3 1 2
Direct
0.0000 0.0000 0.0000
0.3333 0.6667 0.6489
0.6667 0.3333 0.3511
0.0000 0.0000 0.5000
0.3333 0.6667 0.1561
0.6667 0.3333 0.8439
```